(1)
Density functional theory data (PBE-GGA) for a geometry-optimized SrYSeBr2 structure.

Lattice parameters (Å, degrees): 5.5329 5.5329 5.5560 90.00 90.00 90.00
Fractional coordinates of all 5 atoms:
1 Sr 0.0000 0.0000 0.0000
2 Y 0.5000 0.5000 0.5000
3 Se 0.5000 0.5000 0.0000
4 Br 0.0000 0.5000 0.5000
5 Br 0.5000 0.0000 0.5000

Summary:
The energy relative to the lowest polymorph listed for this composition is 0.000 eV/atom. Its uncorrected formation energy is -1459 meV per atom. Its space-group type is No. 123.

(2)
Density functional theory data (PBE-GGA) for a geometry-optimized SrYSe2Br structure.

Lattice parameters (Å, degrees): 5.5219 5.5219 5.4222 90.00 90.00 90.00
Fractional coordinates of all 5 atoms:
1 Sr 0.0000 0.0000 0.0000
2 Y 0.5000 0.5000 0.5000
3 Se 0.0000 0.5000 0.5000
4 Se 0.5000 0.0000 0.5000
5 Br 0.5000 0.5000 0.0000

Summary:
The energy relative to the lowest polymorph listed for this composition is 0.000 eV/atom. Its uncorrected formation energy is -1633 meV per atom. Its space-group type is No. 123.

(3)
Density functional theory data (PBE-GGA) for a geometry-optimized SrZnSeBr2 structure.

Lattice parameters (Å, degrees): 5.1887 5.1887 5.1449 90.00 90.00 90.00
Fractional coordinates of all 5 atoms:
1 Sr 0.0000 0.0000 0.0000
2 Zn 0.5000 0.5000 0.5000
3 Se 0.5000 0.5000 0.0000
4 Br 0.0000 0.5000 0.5000
5 Br 0.5000 0.0000 0.5000

Summary:
The energy relative to the lowest polymorph listed for this composition is 0.000 eV/atom. Its uncorrected formation energy is -1104 meV per atom. Its space-group type is No. 123.

(4)
Density functional theory data (PBE-GGA) for a geometry-optimized SrZnSeBr2 structure.

Lattice parameters (Å, degrees): 5.8652 5.8652 5.6927 90.00 90.00 90.00
Fractional coordinates of all 5 atoms:
1 Sr 0.0000 0.0000 0.0000
2 Zn 0.5000 0.5000 0.0000
3 Se 0.0000 0.0000 0.5000
4 Br 0.0000 0.5000 0.5000
5 Br 0.5000 0.0000 0.5000

Summary:
The energy relative to the lowest polymorph listed for this composition is 0.666 eV/atom. Its uncorrected formation energy is -438 meV per atom. Its space-group type is No. 123.

(5)
Density functional theory data (PBE-GGA) for a geometry-optimized SrZnSe2Br structure.

Lattice parameters (Å, degrees): 4.9506 4.9506 5.4823 90.00 90.00 90.00
Fractional coordinates of all 5 atoms:
1 Sr 0.0000 0.0000 0.0000
2 Zn 0.5000 0.5000 0.5000
3 Se 0.0000 0.5000 0.5000
4 Se 0.5000 0.0000 0.5000
5 Br 0.5000 0.5000 0.0000

Summary:
The energy relative to the lowest polymorph listed for this composition is 0.000 eV/atom. Its uncorrected formation energy is -907 meV per atom. Its space-group type is No. 123.

(6)
Density functional theory data (PBE-GGA) for a geometry-optimized SrZnSeBr2 structure.

Lattice parameters (Å, degrees): 5.9294 5.9294 6.3030 90.00 90.00 90.00
Fractional coordinates of all 5 atoms:
1 Sr 0.0000 0.0000 0.0000
2 Zn 0.5000 0.5000 0.5000
3 Se 0.0000 0.0000 0.5000
4 Br 0.0000 0.5000 0.0000
5 Br 0.5000 0.0000 0.0000

Summary:
The energy relative to the lowest polymorph listed for this composition is 0.545 eV/atom. Its uncorrected formation energy is -560 meV per atom. Its space-group type is No. 123.

(7)
Density functional theory data (PBE-GGA) for a geometry-optimized SrZnSe2Br structure.

Lattice parameters (Å, degrees): 6.1228 6.1228 5.8938 90.00 90.00 90.00
Fractional coordinates of all 5 atoms:
1 Sr 0.0000 0.0000 0.0000
2 Zn 0.5000 0.5000 0.5000
3 Se 0.0000 0.5000 0.0000
4 Se 0.5000 0.0000 0.0000
5 Br 0.0000 0.0000 0.5000

Summary:
The energy relative to the lowest polymorph listed for this composition is 0.750 eV/atom. Its uncorrected formation energy is -157 meV per atom. Its space-group type is No. 123.

(8)
Density functional theory data (PBE-GGA) for a geometry-optimized SrZrSe2Br structure.

Lattice parameters (Å, degrees): 5.6799 5.6799 5.4791 90.00 90.00 90.00
Fractional coordinates of all 5 atoms:
1 Sr 0.0000 0.0000 0.0000
2 Zr 0.5000 0.5000 0.5000
3 Se 0.0000 0.5000 0.0000
4 Se 0.5000 0.0000 0.0000
5 Br 0.0000 0.0000 0.5000

Summary:
The energy relative to the lowest polymorph listed for this composition is 1.288 eV/atom. Its uncorrected formation energy is -41 meV per atom. Its space-group type is No. 123.

(9)
Density functional theory data (PBE-GGA) for a geometry-optimized SrZrSe2Br structure.

Lattice parameters (Å, degrees): 5.2943 5.2943 5.2513 90.00 90.00 90.00
Fractional coordinates of all 5 atoms:
1 Sr 0.0000 0.0000 0.0000
2 Zr 0.5000 0.5000 0.5000
3 Se 0.0000 0.5000 0.5000
4 Se 0.5000 0.0000 0.5000
5 Br 0.5000 0.5000 0.0000

Summary:
The energy relative to the lowest polymorph listed for this composition is 0.000 eV/atom. Its uncorrected formation energy is -1329 meV per atom. Its space-group type is No. 123.

(10)
Density functional theory data (PBE-GGA) for a geometry-optimized SrZrSeBr2 structure.

Lattice parameters (Å, degrees): 5.5912 5.5912 5.9642 90.00 90.00 90.00
Fractional coordinates of all 5 atoms:
1 Sr 0.0000 0.0000 0.0000
2 Zr 0.5000 0.5000 0.5000
3 Se 0.0000 0.0000 0.5000
4 Br 0.0000 0.5000 0.0000
5 Br 0.5000 0.0000 0.0000

Summary:
The energy relative to the lowest polymorph listed for this composition is 0.821 eV/atom. Its uncorrected formation energy is -314 meV per atom. Its space-group type is No. 123.

(11)
Density functional theory data (PBE-GGA) for a geometry-optimized SrZrSeBr2 structure.

Lattice parameters (Å, degrees): 5.3273 5.3273 5.3341 90.00 90.00 90.00
Fractional coordinates of all 5 atoms:
1 Sr 0.0000 0.0000 0.0000
2 Zr 0.5000 0.5000 0.5000
3 Se 0.5000 0.5000 0.0000
4 Br 0.0000 0.5000 0.5000
5 Br 0.5000 0.0000 0.5000

Summary:
The energy relative to the lowest polymorph listed for this composition is 0.000 eV/atom. Its uncorrected formation energy is -1136 meV per atom. Its space-group type is No. 123.

(12)
Density functional theory data (PBE-GGA) for a geometry-optimized Ta2SeBr structure.

Lattice parameters (Å, degrees): 3.3038 3.3038 8.2094 90.00 90.00 90.00
Fractional coordinates of all 4 atoms:
1 Ta 0.0000 0.0000 0.0000
2 Ta 0.5000 0.5000 0.2084
3 Se 0.5000 0.5000 0.8464
4 Br 0.0000 0.0000 0.4426

Summary:
The energy relative to the lowest polymorph listed for this composition is 0.262 eV/atom. Its uncorrected formation energy is -144 meV per atom. Its space-group type is No. 99.

(13)
Density functional theory data (PBE-GGA) for a geometry-optimized Ta2SeBr structure.

Lattice parameters (Å, degrees): 5.1313 5.1313 5.1313 131.14 131.14 71.59
Fractional coordinates of all 4 atoms:
1 Ta 0.0000 0.0000 0.0000
2 Ta 0.7500 0.2500 0.5000
3 Se 0.5000 0.5000 0.0000
4 Br 0.2500 0.7500 0.5000

Summary:
The energy relative to the lowest polymorph listed for this composition is 1.068 eV/atom. Its uncorrected formation energy is 663 meV per atom. Its space-group type is No. 119.

(14)
Density functional theory data (PBE-GGA) for a geometry-optimized Ta2SeBr structure.

Lattice parameters (Å, degrees): 4.5926 4.5926 4.5926 60.00 60.00 60.00
Fractional coordinates of all 4 atoms:
1 Ta 0.2500 0.2500 0.2500
2 Ta 0.7500 0.7500 0.7500
3 Se 0.0000 0.0000 0.0000
4 Br 0.5000 0.5000 0.5000

Summary:
The energy relative to the lowest polymorph listed for this composition is 0.845 eV/atom. Its uncorrected formation energy is 440 meV per atom. Its space-group type is No. 225.

(15)
Density functional theory data (PBE-GGA) for a geometry-optimized Ta4SeBr structure.

Lattice parameters (Å, degrees): 5.5993 5.5993 5.5993 60.00 60.00 60.00
Fractional coordinates of all 6 atoms:
1 Ta 0.1242 0.1242 0.1242
2 Ta 0.1242 0.1242 0.6273
3 Ta 0.1242 0.6273 0.1242
4 Ta 0.6273 0.1242 0.1242
5 Se 0.5000 0.5000 0.5000
6 Br 0.7500 0.7500 0.7500

Summary:
Its uncorrected formation energy is 904 meV per atom. Its space-group type is No. 216.

(16)
Density functional theory data (PBE-GGA) for a geometry-optimized Ta2SeBr structure.

Lattice parameters (Å, degrees): 4.7859 4.7859 4.7859 60.00 60.00 60.00
Fractional coordinates of all 4 atoms:
1 Ta 0.0000 0.0000 0.0000
2 Ta 0.2500 0.2500 0.2500
3 Se 0.5000 0.5000 0.5000
4 Br 0.7500 0.7500 0.7500

Summary:
The energy relative to the lowest polymorph listed for this composition is 1.210 eV/atom. Its uncorrected formation energy is 805 meV per atom. Its space-group type is No. 216.

(17)
Density functional theory data (PBE-GGA) for a geometry-optimized Ta2SeBr structure.

Lattice parameters (Å, degrees): 4.6942 4.6942 7.4828 98.60 98.60 41.51
Fractional coordinates of all 4 atoms:
1 Ta 0.0000 0.0000 0.0000
2 Ta 0.6772 0.6772 0.8223
3 Se 0.3849 0.3849 0.7225
4 Br 0.0491 0.0491 0.3331

Summary:
The energy relative to the lowest polymorph listed for this composition is 0.432 eV/atom. Its uncorrected formation energy is 26 meV per atom. Its space-group type is No. 8.

(18)
Density functional theory data (PBE-GGA) for a geometry-optimized Ta2SeBr structure.

Lattice parameters (Å, degrees): 4.6062 4.6062 5.4813 102.03 102.03 39.97
Fractional coordinates of all 4 atoms:
1 Ta 0.2439 0.2439 0.2348
2 Ta 0.7561 0.7561 0.7652
3 Se 0.5000 0.5000 0.0000
4 Br 0.0000 0.0000 0.5000

Summary:
The energy relative to the lowest polymorph listed for this composition is 0.595 eV/atom. Its uncorrected formation energy is 189 meV per atom. Its space-group type is No. 12.

(19)
Density functional theory data (PBE-GGA) for a geometry-optimized Ta2SeBr structure.

Lattice parameters (Å, degrees): 3.3091 3.3091 6.7078 90.00 90.00 90.00
Fractional coordinates of all 4 atoms:
1 Ta 0.0000 0.0000 0.2036
2 Ta 0.0000 0.0000 0.7964
3 Se 0.5000 0.5000 0.0000
4 Br 0.5000 0.5000 0.5000

Summary:
The energy relative to the lowest polymorph listed for this composition is 0.741 eV/atom. Its uncorrected formation energy is 336 meV per atom. Its space-group type is No. 123.

(20)
Density functional theory data (PBE-GGA) for a geometry-optimized TaSeBr structure.

Lattice parameters (Å, degrees): 3.3826 3.3826 7.3412 90.00 90.00 120.00
Fractional coordinates of all 3 atoms:
1 Ta 0.0000 0.0000 0.0000
2 Se 0.3333 0.6667 0.7671
3 Br 0.6667 0.3333 0.2586

Summary:
Its uncorrected formation energy is -597 meV per atom. Its space-group type is No. 156.